A plane-wave DFT calculation with PBE-GGA was carried out for a relaxed structure of NdMg2Pb.

magnetization = 0.00 μB/f.u.
energy of formation = 0.155 eV per atom
distance to the lowest polymorph of the same formula = 489 meV/atom
V = 116 Å³/f.u.

Cell and atoms, written as POSCAR:
```
NdMg2Pb
1.0
1.691 0.976 11.726
-1.691 0.976 11.726
0.000 -1.953 11.726
Nd Mg Pb
1 2 1
Direct
0.000 0.000 0.000
0.092 0.092 0.092
0.908 0.908 0.908
0.500 0.500 0.500
```